Record 1
Entry from the Alexandria database: a geometry-optimized CaZrB3 structure (PBE).

## Properties
D(E_F) in states/eV per atom: 0.431
Calculated total energy in eV/atom: -4.118
E above lowest polymorph in kcal/mol of atoms: 23.774
Space group: No. 221

Cell lengths 4.2568, 4.2568, 4.2568 Å; angles 90.00, 90.00, 90.00 degrees
Positions (direct):
Ca1 0.0000 0.0000 0.0000
Zr1 0.5000 0.5000 0.5000
B1 0.0000 0.0000 0.5000
B2 0.0000 0.5000 0.0000
B3 0.5000 0.0000 0.0000



Record 2
Entry from the Alexandria database: a geometry-optimized CaZrB3 structure (PBE).

## Properties
D(E_F) in states/eV per atom: 0.581
Calculated total energy in eV/atom: -5.149
E above lowest polymorph in kcal/mol of atoms: 0.000
Space group: No. 221

Cell lengths 4.4747, 4.4747, 4.4747 Å; angles 90.00, 90.00, 90.00 degrees
Positions (direct):
Ca1 0.0000 0.0000 0.0000
Zr1 0.5000 0.5000 0.5000
B1 0.0000 0.5000 0.5000
B2 0.5000 0.0000 0.5000
B3 0.5000 0.5000 0.0000



Record 3
Entry from the Alexandria database: a geometry-optimized CaZrB12 structure (PBE).

## Properties
D(E_F) in states/eV per atom: 0.123
Calculated total energy in eV/atom: -6.712
Space group: No. 123

Cell lengths 4.0910, 4.0910, 8.2051 Å; angles 90.00, 90.00, 90.00 degrees
Positions (direct):
Ca1 0.0000 0.0000 0.0000
Zr1 0.0000 0.0000 0.5000
B1 0.1992 0.5000 0.2530
B2 0.1992 0.5000 0.7470
B3 0.5000 0.1992 0.2530
B4 0.5000 0.1992 0.7470
B5 0.5000 0.5000 0.1015
B6 0.5000 0.5000 0.4023
B7 0.5000 0.5000 0.5977
B8 0.5000 0.5000 0.8985
B9 0.5000 0.8008 0.2530
B10 0.5000 0.8008 0.7470
B11 0.8008 0.5000 0.2530
B12 0.8008 0.5000 0.7470



Record 4
Entry from the Alexandria database: a geometry-optimized CaZrB2 structure (PBE).

## Properties
D(E_F) in states/eV per atom: 0.170
Calculated total energy in eV/atom: -5.134
E above lowest polymorph in kcal/mol of atoms: 7.627
Space group: No. 122

Cell lengths 7.9211, 7.9211, 7.9211 Å; angles 143.92, 143.92, 51.95 degrees
Positions (direct):
Ca1 0.0000 0.0000 0.0000
Ca2 0.7500 0.2500 0.5000
Zr1 0.2500 0.7500 0.5000
Zr2 0.5000 0.5000 0.0000
B1 0.2156 0.6250 0.0906
B2 0.3750 0.4656 0.5906
B3 0.5344 0.1250 0.9094
B4 0.8750 0.7844 0.4094



Record 5
Entry from the Alexandria database: a geometry-optimized Ca2ZrB structure (PBE).

## Properties
D(E_F) in states/eV per atom: 1.390
Calculated total energy in eV/atom: -4.279
Space group: No. 122

Cell lengths 7.4068, 7.4068, 7.4068 Å; angles 95.49, 95.49, 143.97 degrees
Positions (direct):
Ca1 0.3750 0.2268 0.3518
Ca2 0.7732 0.1250 0.1482
Ca3 0.8750 0.0232 0.6482
Ca4 0.9768 0.6250 0.8518
Zr1 0.2500 0.7500 0.5000
Zr2 0.5000 0.5000 0.0000
B1 0.0000 0.0000 0.0000
B2 0.7500 0.2500 0.5000



Record 6
Entry from the Alexandria database: a geometry-optimized CaZrB2 structure (PBE).

## Properties
D(E_F) in states/eV per atom: 0.330
Calculated total energy in eV/atom: -5.465
E above lowest polymorph in kcal/mol of atoms: 0.000
Space group: No. 225

Cell lengths 4.3900, 4.3900, 4.3900 Å; angles 60.00, 60.00, 60.00 degrees
Positions (direct):
Ca1 0.0000 0.0000 0.0000
Zr1 0.5000 0.5000 0.5000
B1 0.2500 0.2500 0.2500
B2 0.7500 0.7500 0.7500



Number 1: DFT formation energy 1998 meV per atom, total magnetic moment 0.95 Bohr magnetons per cell, calculated density 3.525 g/cm³. Number 2: DFT formation energy 967 meV per atom, total magnetic moment 0.00 Bohr magnetons per cell, calculated density 3.035 g/cm³. Number 3: DFT formation energy -235 meV per atom, total magnetic moment 0.00 Bohr magnetons per cell, calculated density 3.156 g/cm³. Number 4: DFT formation energy 842 meV per atom, total magnetic moment 0.00 Bohr magnetons per cell, calculated density 2.963 g/cm³. Number 5: DFT formation energy 528 meV per atom, total magnetic moment 0.00 Bohr magnetons per cell, calculated density 2.662 g/cm³. Number 6: DFT formation energy 511 meV per atom, total magnetic moment 0.00 Bohr magnetons per cell, calculated density 4.245 g/cm³.